CaLaZr2: relaxed, PBE.

Cell lengths 6.055, 6.055, 6.055 Å; angles 133.90, 133.90, 67.24 degrees
Positions (direct):
Ca 0.250 0.750 0.500
Zr 0.000 0.000 0.000
Zr 0.500 0.500 0.000
La 0.750 0.250 0.500

ΔH_f (0 K) = 0.33 eV per atom
excess energy over the best structure of this formula in the dataset = 16.2 kJ per mole of atoms
magnetization = 0.00 μB/cell
calculated volume = 28.33 Å³/atom